{
  "formula": "TaMn2FeO6",
  "functional": "PBE+U",
  "state": "relaxed",
  "e_tot_ev_per_atom": -8.260,
  "lattice_angstrom": [[-2.926, -4.393, -1.874], [-2.914, -3.394, 3.372], [-5.598, -0.188, 0.049]],
  "species": ["O", "O", "O", "O", "O", "O", "Mn", "Mn", "Fe", "Ta"],
  "frac_coords": [[0.657, 0.052, 0.426], [0.426, 0.657, 0.052], [0.052, 0.426, 0.657], [0.150, 0.920, 0.561], [0.561, 0.150, 0.920], [0.920, 0.561, 0.150], [0.502, 0.502, 0.502], [0.998, 0.998, 0.998], [0.280, 0.280, 0.280], [0.782, 0.782, 0.782]]
}